# TbHoAl PBE relaxed
# Calculated formation energy = -0.09 eV/f.u.
# Distance to the lowest polymorph of the same formula = 222 meV/atom
# Space-group type = R3m (160)
# DOS at the Fermi energy = 3.7 states/eV/f.u.
data_TbHoAl
_cell_length_a 8.147
_cell_length_b 8.147
_cell_length_c 3.459
_cell_angle_alpha 89.99
_cell_angle_beta 102.26
_cell_angle_gamma 155.49
_symmetry_space_group_name_H-M 'P 1'
_symmetry_Int_Tables_number 1
loop_
_symmetry_equiv_pos_as_xyz
'x,y,z'
loop_
_atom_site_label
_atom_site_fract_x
_atom_site_fract_y
_atom_site_fract_z
_atom_site_occupancy
Ho1 0.334 0.027 0.361 1
Al1 0.463 0.463 0.925 1
Tb1 0.918 0.235 0.153 1